DFT (PBE-GGA) results for a relaxed structure of Gd2AlP.

Unit cell a=8.013 b=8.013 c=8.013 alpha=28.38 beta=28.38 gamma=28.38
Fractional coordinates of all 4 atoms:
Gd 0.238 0.238 0.238
Gd 0.762 0.762 0.762
Al 0.000 0.000 0.000
P 0.500 0.500 0.500

Calculated values
- Symmetry: R-3m
- Energy of formation: -0.838 eV per atom